# Ta2AsSe | Alexandria | PBE | optimized geometry
# DOS at the Fermi energy: 0.627 states/eV/atom
# uncorrected formation energy: 0.38 eV/atom
# total DFT energy (no corrections): -7.584 eV per atom
# size of the total moment: 0.00 μB/atom
data_Ta2AsSe
_symmetry_space_group_name_H-M 'F -4 3 m'
_symmetry_Int_Tables_number 216
_symmetry_space_group_name_Hall 'F -4 2 3'
_cell_length_a 6.605
_cell_length_b 6.605
_cell_length_c 6.605
_cell_angle_alpha 90.00
_cell_angle_beta 90.00
_cell_angle_gamma 90.00
loop_
_atom_site_label
_atom_site_fract_x
_atom_site_fract_y
_atom_site_fract_z
_atom_site_occupancy
Ta1 0.000 0.000 0.000 1
Ta2 0.250 0.250 0.250 1
As1 0.250 0.250 0.750 1
Se1 0.000 0.000 0.500 1

# LiAc3Cd2Ag6 | Alexandria | PBE | optimized geometry
# DOS at the Fermi energy: 0.450 states/eV/atom
# total DFT energy (no corrections): -2.914 eV per atom
# size of the total moment: 0.00 μB/atom
# energy of formation from the pure elements: -0.15 eV per atom
data_LiAc3Cd2Ag6
_symmetry_space_group_name_H-M 'P -3 m 1'
_symmetry_Int_Tables_number 164
_symmetry_space_group_name_Hall '-P 3 2"'
_cell_length_a 6.1763
_cell_length_b 6.1763
_cell_length_c 9.4321
_cell_angle_alpha 90.00
_cell_angle_beta 90.00
_cell_angle_gamma 120.00
loop_
_atom_site_label
_atom_site_fract_x
_atom_site_fract_y
_atom_site_fract_z
_atom_site_occupancy
Li1 0.0000 0.0000 0.0000 1
Ac1 0.0000 0.0000 0.5000 1
Ac2 0.3333 0.6667 0.1028 1
Cd1 0.3333 0.6667 0.4963 1
Ag1 0.1768 0.3536 0.7768 1

# Pm7Sm3Tm | Alexandria | PBE | optimized geometry
# DOS at the Fermi energy: 1.597 states/eV/atom
# total DFT energy (no corrections): -4.534 eV per atom
# size of the total moment: 0.00 μB/atom
# energy of formation from the pure elements: 0.18 eV per atom
data_Pm7Sm3Tm
_symmetry_space_group_name_H-M 'C 1 2/c 1'
_symmetry_Int_Tables_number 15
_symmetry_space_group_name_Hall '-C 2yc'
_cell_length_a 19.264
_cell_length_b 7.221
_cell_length_c 12.578
_cell_angle_alpha 90.00
_cell_angle_beta 115.91
_cell_angle_gamma 90.00
loop_
_atom_site_label
_atom_site_fract_x
_atom_site_fract_y
_atom_site_fract_z
_atom_site_occupancy
Pm1 0.000 0.224 0.250 1
Pm2 0.161 0.499 0.776 1
Pm3 0.167 0.246 0.029 1
Pm4 0.168 0.250 0.529 1
Sm1 0.000 0.500 0.000 1
Sm2 0.167 0.002 0.774 1
Tm1 0.000 0.000 0.000 1

# TmTh2Pd7 | Alexandria | PBE | optimized geometry
# DOS at the Fermi energy: 0.688 states/eV/atom
# total DFT energy (no corrections): -6.287 eV per atom
# size of the total moment: 0.00 μB/atom
# energy of formation from the pure elements: -0.72 eV per atom
data_TmTh2Pd7
_symmetry_space_group_name_H-M 'F m m m'
_symmetry_Int_Tables_number 69
_symmetry_space_group_name_Hall '-F 2 2'
_cell_length_a 5.716
_cell_length_b 8.586
_cell_length_c 17.180
_cell_angle_alpha 90.00
_cell_angle_beta 90.00
_cell_angle_gamma 90.00
loop_
_atom_site_label
_atom_site_fract_x
_atom_site_fract_y
_atom_site_fract_z
_atom_site_occupancy
Tm1 0.000 0.000 0.000 1
Th1 0.000 0.000 0.333 1
Pd1 0.000 0.000 0.500 1
Pd2 0.250 0.250 0.083 1
Pd3 0.250 0.250 0.250 1

# Ac6TlZn2 | Alexandria | PBE | optimized geometry
# DOS at the Fermi energy: 1.285 states/eV/atom
# total DFT energy (no corrections): -3.447 eV per atom
# size of the total moment: 0.00 μB/atom
# energy of formation from the pure elements: -0.16 eV per atom
data_Ac6TlZn2
_symmetry_space_group_name_H-M 'I m m m'
_symmetry_Int_Tables_number 71
_symmetry_space_group_name_Hall '-I 2 2'
_cell_length_a 10.433
_cell_length_b 10.921
_cell_length_c 11.687
_cell_angle_alpha 90.00
_cell_angle_beta 90.00
_cell_angle_gamma 90.00
loop_
_atom_site_label
_atom_site_fract_x
_atom_site_fract_y
_atom_site_fract_z
_atom_site_occupancy
Ac1 0.000 0.193 0.239 1
Ac2 0.196 0.500 0.174 1
Ac3 0.220 0.318 0.500 1
Tl1 0.000 0.000 0.000 1
Tl2 0.000 0.000 0.500 1
Zn1 0.000 0.345 0.000 1
Zn2 0.000 0.500 0.386 1

# NaCuH3 | Alexandria | PBE | optimized geometry
# DOS at the Fermi energy: 0.111 states/eV/atom
# total DFT energy (no corrections): -3.086 eV per atom
# size of the total moment: 0.00 μB/atom
data_NaCuH3
_symmetry_space_group_name_H-M 'P 1 21/m 1'
_symmetry_Int_Tables_number 11
_symmetry_space_group_name_Hall '-P 2yb'
_cell_length_a 4.211
_cell_length_b 4.632
_cell_length_c 5.356
_cell_angle_alpha 90.00
_cell_angle_beta 90.95
_cell_angle_gamma 90.00
loop_
_atom_site_label
_atom_site_fract_x
_atom_site_fract_y
_atom_site_fract_z
_atom_site_occupancy
Na1 0.221 0.250 0.393 1
Cu1 0.437 0.750 0.084 1
H1 0.276 0.750 0.367 1
H2 0.292 0.510 0.887 1

> total DFT energy (no corrections) of number 3 (Pm7Sm3Tm)?

-4.534 eV per atom